LiHfHgPt2 | GGA-PBE | relaxed

Properties
Its space group is P4/mmm, No. 123. The calculation puts the electronic total energy at -4.364 eV/atom. The energy relative to the lowest polymorph listed for this composition is 172 meV per atom. The calculated formation energy comes out at 234.7 kJ/mol of formula units.

Cell lengths 5.044, 4.116, 5.044 Å; angles 90.00, 90.00, 90.00 degrees
Element x y z (fractional)
Hf1 0.500 0.500 0.500
Hg1 0.000 0.000 0.000
Pt1 0.000 0.000 0.500
Pt2 0.500 0.000 0.000
Li1 0.000 0.500 0.000

***

LiHfHgPt2 | GGA-PBE | relaxed

Properties
Its space group is P4/mmm, No. 123. The calculation puts the electronic total energy at -4.536 eV/atom. The energy relative to the lowest polymorph listed for this composition is 0 meV per atom. The calculated formation energy comes out at 151.7 kJ/mol of formula units.

Cell lengths 4.307, 4.713, 4.307 Å; angles 90.00, 90.00, 90.00 degrees
Element x y z (fractional)
Hf1 0.000 0.500 0.000
Hg1 0.500 0.500 0.500
Pt1 0.000 0.000 0.500
Pt2 0.500 0.000 0.000
Li1 0.000 0.000 0.000

***

LiHf2Hg2Se6 | GGA-PBE | relaxed

Properties
Its space group is C2/m, No. 12. The calculation puts the electronic total energy at -4.763 eV/atom. The formation energy (no corrections) comes out at -0.8236 eV per atom.

Cell lengths 6.819, 6.819, 7.473 Å; angles 99.16, 99.16, 120.66 degrees
Element x y z (fractional)
Li1 0.000 0.000 0.500
Hf1 0.338 0.662 0.500
Hf2 0.662 0.338 0.500
Hg1 0.825 0.175 0.000
Hg2 0.175 0.825 0.000
Se1 0.737 0.737 0.711
Se2 0.070 0.427 0.717
Se3 0.263 0.263 0.289
Se4 0.427 0.070 0.717
Se5 0.930 0.573 0.283
Se6 0.573 0.930 0.283

***

Number 1: Fermi-level density of states 0.642 states/eV/atom. Number 2: Fermi-level density of states 0.759 states/eV/atom. Number 3: Fermi-level density of states 0.288 states/eV/atom.